P:
Rb4PdO4: optimized geometry, PBE-GGA.

Cell and atoms, written as POSCAR:
```
Rb4PdO4
1.0
-4.211 4.211 2.819
4.211 -4.211 2.819
4.211 4.211 -2.819
Rb Pd O
4 1 4
Direct
0.106 0.294 0.400
0.294 0.894 0.187
0.706 0.106 0.813
0.894 0.706 0.600
0.500 0.500 0.000
0.274 0.569 0.843
0.431 0.274 0.706
0.569 0.726 0.294
0.726 0.431 0.157
```

---

Q:
Rb4PdO4: optimized geometry, PBE-GGA.

Cell and atoms, written as POSCAR:
```
Rb4PdO4
1.0
-3.229 3.229 6.358
3.229 -3.229 6.358
3.229 3.229 -6.358
Rb Pd O
4 1 4
Direct
0.000 0.500 0.500
0.214 0.214 0.000
0.500 0.000 0.500
0.786 0.786 0.000
0.500 0.500 0.000
0.236 0.542 0.000
0.458 0.458 0.694
0.542 0.236 0.000
0.764 0.764 0.306
```

---

Pick the least stable structure from those above. Pick: Q